1.
A relaxed Hf2GaNi crystal. Source: Alexandria via LeMat-Bulk, functional PBE.

Lattice parameters (Å, degrees): 3.0548 3.0548 7.3807 90.00 90.00 90.00
Fractional positions:
Ni: 0.5000 0.5000 0.0000
Hf: 0.0000 0.0000 0.7692
Hf: 0.0000 0.0000 0.2308
Ga: 0.5000 0.5000 0.5000

DOS at the Fermi energy	4.1	states/eV/f.u.
E_tot	-30.3	eV per formula unit

=====

2.
A relaxed RbSb2RhI crystal. Source: Alexandria via LeMat-Bulk, functional PBE.

Lattice parameters (Å, degrees): 6.3823 6.3823 6.5113 90.00 90.00 90.00
Site moments in Bohr magnetons follow the coordinates.
Fractional positions:
I: 0.0000 0.0000 0.5000  0.17
Sb: 0.0000 0.5000 0.0000  0.53
Sb: 0.5000 0.0000 0.0000  0.53
Rh: 0.5000 0.5000 0.5000  1.56
Rb: 0.0000 0.0000 0.0000  0.05

DOS at the Fermi energy	7.0	states/eV/f.u.
polymorph energy (0 for the lowest one)	1887	meV/atom
E_tot	-9.7	eV per formula unit
formation energy (no corrections)	1.683	eV/atom